Crystalline LaGa4Au4 at its relaxed geometry. Source: Alexandria via LeMat-Bulk, functional PBE.

Cell and atoms, written as extended XYZ:
```
18
Lattice="6.3508 0.0000 0.0000 0.0000 6.3508 0.0000 0.0000 0.0000 8.9934" Properties=species:S:1:pos:R:3 pbc="T T T"
La 1.5877 4.7631 2.2484
La 4.7631 1.5877 6.7451
Ga 0.2089 1.5877 1.3073
Ga 1.5877 0.2089 5.8040
Ga 1.5877 2.9665 5.8040
Ga 2.9665 1.5877 1.3073
Ga 3.3843 4.7631 7.6862
Ga 4.7631 3.3843 3.1895
Ga 4.7631 6.1419 3.1895
Ga 6.1419 4.7631 7.6862
Au 0.1629 1.5877 3.9273
Au 1.5877 0.1629 8.4240
Au 1.5877 3.0126 8.4240
Au 3.0126 1.5877 3.9273
Au 3.3383 4.7631 5.0661
Au 4.7631 3.3383 0.5694
Au 4.7631 6.1880 0.5694
Au 6.1880 4.7631 5.0661
```

Computed properties:
SG ... P4_2/nmc, No. 137
Calculated volume ... 20.2 A^3/atom
DFT total energy ... -3.790 eV per atom
Energy of formation ... -0.4402 eV per atom